# CuPbSeBr2 (GGA-PBEsol, relaxed)
data_CuPbSeBr2
_chemical_formula_sum 'Cu1 Pb1 Se1 Br2'
_cell_length_a 4.865
_cell_length_b 4.865
_cell_length_c 4.990
_cell_angle_alpha 90.00
_cell_angle_beta 90.00
_cell_angle_gamma 90.00
_space_group_name_H-M_alt 'P 1'
_space_group_IT_number 1
loop_
_space_group_symop_operation_xyz
'x,y,z'
loop_
_atom_site_label
_atom_site_type_symbol
_atom_site_fract_x
_atom_site_fract_y
_atom_site_fract_z
Cu1 Cu 0.000 0.000 0.000
Pb1 Pb 0.500 0.500 0.500
Se1 Se 0.000 0.000 0.500
Br1 Br 0.000 0.500 0.000
Br2 Br 0.500 0.000 0.000
# V	23.62	Å³ per atom
# magnetic moment	0.00	μB per formula unit
# E_form (uncorrected)	-0.247	eV/atom


# CuSiPd2Br (GGA-PBEsol, relaxed)
data_CuSiPd2Br
_chemical_formula_sum 'Cu1 Si1 Pd2 Br1'
_cell_length_a 4.568
_cell_length_b 4.568
_cell_length_c 4.412
_cell_angle_alpha 90.00
_cell_angle_beta 90.00
_cell_angle_gamma 90.00
_space_group_name_H-M_alt 'P 1'
_space_group_IT_number 1
loop_
_space_group_symop_operation_xyz
'x,y,z'
loop_
_atom_site_label
_atom_site_type_symbol
_atom_site_fract_x
_atom_site_fract_y
_atom_site_fract_z
Cu1 Cu 0.000 0.000 0.000
Si1 Si 0.000 0.000 0.500
Pd1 Pd 0.000 0.500 0.500
Pd2 Pd 0.500 0.000 0.500
Br1 Br 0.500 0.500 0.000
# V	18.41	Å³ per atom
# magnetic moment	0.00	μB per formula unit
# E_form (uncorrected)	0.301	eV/atom


# Cu2PtBr (GGA-PBEsol, relaxed)
data_Cu2PtBr
_chemical_formula_sum 'Cu6 Pt3 Br3'
_cell_length_a 2.790
_cell_length_b 2.790
_cell_length_c 27.493
_cell_angle_alpha 90.00
_cell_angle_beta 90.00
_cell_angle_gamma 120.00
_space_group_name_H-M_alt 'P 1'
_space_group_IT_number 1
loop_
_space_group_symop_operation_xyz
'x,y,z'
loop_
_atom_site_label
_atom_site_type_symbol
_atom_site_fract_x
_atom_site_fract_y
_atom_site_fract_z
Cu1 Cu 0.000 0.000 0.000
Cu2 Cu 0.000 0.000 0.265
Cu3 Cu 0.333 0.667 0.667
Cu4 Cu 0.333 0.667 0.932
Cu5 Cu 0.667 0.333 0.333
Cu6 Cu 0.667 0.333 0.599
Pt1 Pt 0.000 0.000 0.524
Pt2 Pt 0.333 0.667 0.191
Pt3 Pt 0.667 0.333 0.858
Br1 Br 0.000 0.000 0.746
Br2 Br 0.333 0.667 0.412
Br3 Br 0.667 0.333 0.079
# V	15.45	Å³ per atom
# magnetic moment	0.00	μB per formula unit
# E_form (uncorrected)	0.360	eV/atom
# energy relative to the lowest polymorph listed for this composition	21.6	kJ per mole of atoms


# CuPt2Br (GGA-PBEsol, relaxed)
data_CuPt2Br
_chemical_formula_sum 'Cu2 Pt4 Br2'
_cell_length_a 5.422
_cell_length_b 9.215
_cell_length_c 3.027
_cell_angle_alpha 90.00
_cell_angle_beta 123.20
_cell_angle_gamma 90.00
_space_group_name_H-M_alt 'P 1'
_space_group_IT_number 1
loop_
_space_group_symop_operation_xyz
'x,y,z'
loop_
_atom_site_label
_atom_site_type_symbol
_atom_site_fract_x
_atom_site_fract_y
_atom_site_fract_z
Cu1 Cu 0.000 0.000 0.000
Cu2 Cu 0.500 0.500 0.000
Pt1 Pt 0.250 0.250 0.500
Pt2 Pt 0.250 0.750 0.500
Pt3 Pt 0.750 0.250 0.500
Pt4 Pt 0.750 0.750 0.500
Br1 Br 0.000 0.500 0.000
Br2 Br 0.500 0.000 0.000
# V	15.82	Å³ per atom
# magnetic moment	0.00	μB per formula unit
# E_form (uncorrected)	0.425	eV/atom
# energy relative to the lowest polymorph listed for this composition	0.0	kJ per mole of atoms


# Cu2PtBr (GGA-PBEsol, relaxed)
data_Cu2PtBr
_chemical_formula_sum 'Cu2 Pt1 Br1'
_cell_length_a 2.991
_cell_length_b 3.182
_cell_length_c 6.703
_cell_angle_alpha 90.00
_cell_angle_beta 90.00
_cell_angle_gamma 90.00
_space_group_name_H-M_alt 'P 1'
_space_group_IT_number 1
loop_
_space_group_symop_operation_xyz
'x,y,z'
loop_
_atom_site_label
_atom_site_type_symbol
_atom_site_fract_x
_atom_site_fract_y
_atom_site_fract_z
Cu1 Cu 0.000 0.000 0.206
Cu2 Cu 0.000 0.000 0.794
Pt1 Pt 0.500 0.500 0.000
Br1 Br 0.000 0.500 0.500
# V	15.95	Å³ per atom
# magnetic moment	0.00	μB per formula unit
# E_form (uncorrected)	0.136	eV/atom
# energy relative to the lowest polymorph listed for this composition	0.0	kJ per mole of atoms


# Cu2PtBr (GGA-PBEsol, relaxed)
data_Cu2PtBr
_chemical_formula_sum 'Cu2 Pt1 Br1'
_cell_length_a 2.958
_cell_length_b 4.178
_cell_length_c 5.137
_cell_angle_alpha 90.00
_cell_angle_beta 90.00
_cell_angle_gamma 90.00
_space_group_name_H-M_alt 'P 1'
_space_group_IT_number 1
loop_
_space_group_symop_operation_xyz
'x,y,z'
loop_
_atom_site_label
_atom_site_type_symbol
_atom_site_fract_x
_atom_site_fract_y
_atom_site_fract_z
Cu1 Cu 0.000 0.000 0.000
Cu2 Cu 0.500 0.500 0.500
Pt1 Pt 0.000 0.000 0.500
Br1 Br 0.500 0.500 0.000
# V	15.87	Å³ per atom
# magnetic moment	0.00	μB per formula unit
# E_form (uncorrected)	0.389	eV/atom
# energy relative to the lowest polymorph listed for this composition	24.4	kJ per mole of atoms


# Cu2PtBr (GGA-PBEsol, relaxed)
data_Cu2PtBr
_chemical_formula_sum 'Cu6 Pt3 Br3'
_cell_length_a 3.152
_cell_length_b 3.152
_cell_length_c 21.724
_cell_angle_alpha 90.00
_cell_angle_beta 90.00
_cell_angle_gamma 120.00
_space_group_name_H-M_alt 'P 1'
_space_group_IT_number 1
loop_
_space_group_symop_operation_xyz
'x,y,z'
loop_
_atom_site_label
_atom_site_type_symbol
_atom_site_fract_x
_atom_site_fract_y
_atom_site_fract_z
Cu1 Cu 0.000 0.000 0.248
Cu2 Cu 0.000 0.000 0.752
Cu3 Cu 0.333 0.667 0.418
Cu4 Cu 0.333 0.667 0.915
Cu5 Cu 0.667 0.333 0.085
Cu6 Cu 0.667 0.333 0.582
Pt1 Pt 0.000 0.000 0.500
Pt2 Pt 0.333 0.667 0.167
Pt3 Pt 0.667 0.333 0.833
Br1 Br 0.000 0.000 0.000
Br2 Br 0.333 0.667 0.667
Br3 Br 0.667 0.333 0.333
# V	15.58	Å³ per atom
# magnetic moment	0.00	μB per formula unit
# E_form (uncorrected)	0.228	eV/atom
# energy relative to the lowest polymorph listed for this composition	8.8	kJ per mole of atoms


# CuPt2Br (GGA-PBEsol, relaxed)
data_CuPt2Br
_chemical_formula_sum 'Cu2 Pt4 Br2'
_cell_length_a 2.870
_cell_length_b 4.621
_cell_length_c 9.382
_cell_angle_alpha 90.00
_cell_angle_beta 90.00
_cell_angle_gamma 90.00
_space_group_name_H-M_alt 'P 1'
_space_group_IT_number 1
loop_
_space_group_symop_operation_xyz
'x,y,z'
loop_
_atom_site_label
_atom_site_type_symbol
_atom_site_fract_x
_atom_site_fract_y
_atom_site_fract_z
Cu1 Cu 0.000 0.000 0.000
Cu2 Cu 0.500 0.500 0.500
Pt1 Pt 0.000 0.000 0.490
Pt2 Pt 0.000 0.500 0.737
Pt3 Pt 0.500 0.000 0.237
Pt4 Pt 0.500 0.500 0.990
Br1 Br 0.000 0.500 0.243
Br2 Br 0.500 0.000 0.743
# V	15.56	Å³ per atom
# magnetic moment	0.00	μB per formula unit
# E_form (uncorrected)	0.497	eV/atom
# energy relative to the lowest polymorph listed for this composition	6.9	kJ per mole of atoms